[1]
Compound: YTcOs2
Source: Alexandria via LeMat-Bulk
Functional: PBE
Structure: optimized geometry

Summary:
final energy	-9.504	eV/atom

abc: 5.6276 5.6276 5.6276
angles: 149.54 130.82 58.95
Fractional coordinates of all 4 atoms:
Y 0.2500 0.7500 0.5000
Tc 0.7500 0.2500 0.5000
Os 0.9729 0.9729 0.0000
Os 0.5271 0.5271 0.0000


[2]
Compound: TaHgHRu2
Source: Alexandria via LeMat-Bulk
Functional: PBE
Structure: optimized geometry

Summary:
final energy	-5.578	eV/atom

abc: 5.0022 3.2176 5.0022
angles: 90.00 90.00 90.00
Fractional coordinates of all 5 atoms:
Hg 0.0000 0.0000 0.0000
Ta 0.5000 0.5000 0.5000
Ru 0.5000 0.0000 0.0000
Ru 0.0000 0.0000 0.5000
H 0.0000 0.5000 0.0000